No. 1
NpTc3Ge3 | PBE | optimized geometry

CIF file:
```
data_NpTc3Ge3
_symmetry_space_group_name_H-M 'P m -3 n'
_symmetry_Int_Tables_number 223
_symmetry_space_group_name_Hall '-P 4n 2 3'
_cell_length_a 6.773
_cell_length_b 6.773
_cell_length_c 6.773
_cell_angle_alpha 90.00
_cell_angle_beta 90.00
_cell_angle_gamma 90.00
loop_
_atom_site_label
_atom_site_type_symbol
_atom_site_fract_x
_atom_site_fract_y
_atom_site_fract_z
Np1 Np 0.000 0.000 0.000
Tc1 Tc 0.000 0.250 0.500
Ge1 Ge 0.000 0.500 0.250
```

Final energy, eV per atom: -7.63
Fermi-level density of states, states/eV/cell: 33.8


No. 2
LiTi4Co5 | PBE | optimized geometry

CIF file:
```
data_LiTi4Co5
_symmetry_space_group_name_H-M 'P 4/m m m'
_symmetry_Int_Tables_number 123
_symmetry_space_group_name_Hall '-P 4 2'
_cell_length_a 2.988
_cell_length_b 2.988
_cell_length_c 14.186
_cell_angle_alpha 90.00
_cell_angle_beta 90.00
_cell_angle_gamma 90.00
loop_
_atom_site_label
_atom_site_type_symbol
_atom_site_fract_x
_atom_site_fract_y
_atom_site_fract_z
Li1 Li 0.000 0.000 0.000
Ti1 Ti 0.000 0.000 0.188
Ti2 Ti 0.000 0.000 0.397
Co1 Co 0.500 0.500 0.098
Co2 Co 0.500 0.500 0.297
Co3 Co 0.500 0.500 0.500
```

Final energy, eV per atom: -7.20
Fermi-level density of states, states/eV/cell: 7.9


No. 3
CeMgB14 | PBE | optimized geometry

CIF file:
```
data_CeMgB14
_symmetry_space_group_name_H-M 'I m m a'
_symmetry_Int_Tables_number 74
_symmetry_space_group_name_Hall '-I 2b 2'
_cell_length_a 5.921
_cell_length_b 10.764
_cell_length_c 8.348
_cell_angle_alpha 90.00
_cell_angle_beta 90.00
_cell_angle_gamma 90.00
loop_
_atom_site_label
_atom_site_type_symbol
_atom_site_fract_x
_atom_site_fract_y
_atom_site_fract_z
Ce1 Ce 0.000 0.250 0.137
Mg1 Mg 0.250 0.250 0.750
B1 B 0.000 0.082 0.669
B2 B 0.000 0.131 0.871
B3 B 0.000 0.167 0.469
B4 B 0.161 0.060 0.340
B5 B 0.248 0.076 0.547
```

Final energy, eV per atom: -6.52
Fermi-level density of states, states/eV/cell: 21.5


Number 1: ΔE_f 0.641 eV per atom. Number 2: ΔE_f -0.295 eV per atom. Number 3: ΔE_f -0.208 eV per atom.